Density functional theory data (PBE) for crystalline RbAl2AgBr8 at its relaxed geometry.

## Properties
The formation energy (no corrections) comes out at -1126 meV/atom.

Structure (POSCAR):
```
RbAl2AgBr8
1.0
6.917 0.000 0.000
-3.459 5.990 0.000
0.000 0.000 10.095
Rb Al Ag Br
1 2 1 8
Direct
0.000 0.000 0.000 Rb
0.333 0.667 0.748 Al
0.667 0.333 0.252 Al
0.000 0.000 0.500 Ag
0.015 0.341 0.678 Br
0.326 0.985 0.678 Br
0.333 0.667 0.978 Br
0.341 0.326 0.322 Br
0.659 0.674 0.678 Br
0.667 0.333 0.022 Br
0.674 0.015 0.322 Br
0.985 0.659 0.322 Br
```

---

Density functional theory data (PBE) for crystalline Mn3Al4 at its relaxed geometry.

## Properties
For the polymorph energy (0 for the lowest one), the calculation gives 0.099 eV per atom. Its energy of formation is -99 meV/atom.

Structure (POSCAR):
```
Mn3Al4
1.0
4.772 0.000 0.000
-2.386 4.133 0.000
0.000 0.000 4.735
Mn Al
3 4
Direct
0.000 0.500 0.000 Mn
0.500 0.000 0.000 Mn
0.500 0.500 0.000 Mn
0.000 0.000 0.249 Al
0.000 0.000 0.751 Al
0.333 0.667 0.500 Al
0.667 0.333 0.500 Al
```

---

| no. | N(E_F) (states/eV/f.u.) | V (Å³/f.u.) | electronic total energy (eV per atom) |
| --- | --- | --- | --- |
| 1 | 0.00 | 418.3 | -3.183 |
| 2 | 3.80 | 93.4 | -6.168 |